DFT (PBE) results for a relaxed Mo2Pd2Cl crystal.

a = 7.8037 Å, b = 7.8037 Å, c = 2.9267 Å
α = 90.00°, β = 90.00°, γ = 90.00°
Sites, in units of the cell vectors:
Pd: 0.6797 0.1797 0.0000
Pd: 0.1797 0.3203 0.0000
Pd: 0.3203 0.8203 0.0000
Pd: 0.8203 0.6797 0.0000
Cl: 0.0000 0.0000 0.0000
Cl: 0.5000 0.5000 0.0000
Mo: 0.6063 0.8937 0.5000
Mo: 0.3937 0.1063 0.5000
Mo: 0.8937 0.3937 0.5000
Mo: 0.1063 0.6063 0.5000

Values from the calculation:
ΔE to the lowest computed polymorph ... 0.138 eV per atom
Crystal system ... tetragonal
Raw formation energy ... 473 meV/atom

DFT (PBE) results for a relaxed ErLuThZr crystal.

a = 5.4405 Å, b = 5.4405 Å, c = 5.4405 Å
α = 60.00°, β = 60.00°, γ = 60.00°
Sites, in units of the cell vectors:
Lu: 0.7500 0.7500 0.7500
Zr: 0.2500 0.2500 0.2500
Er: 0.5000 0.5000 0.5000
Th: 0.0000 0.0000 0.0000

Values from the calculation:
Crystal system ... cubic
Final energy ... -6.114 eV per atom

DFT (PBE) results for a relaxed DyUFe crystal.

a = 3.3301 Å, b = 3.3301 Å, c = 5.9715 Å
α = 106.19°, β = 106.19°, γ = 90.00°
Sites, in units of the cell vectors:
Dy: 0.0008 0.0008 0.0016
Fe: 0.2906 0.2906 0.5811
U: 0.7086 0.7086 0.4173

Values from the calculation:
ΔE to the lowest computed polymorph ... 0.064 eV per atom
Crystal system ... tetragonal

DFT (PBE) results for a relaxed Cs3SrI4 crystal.

a = 7.9660 Å, b = 7.9227 Å, c = 15.0566 Å
α = 90.00°, β = 90.00°, γ = 90.00°
Sites, in units of the cell vectors:
I: 0.0554 0.2454 0.2264
I: 0.5554 0.7546 0.7264
I: 0.0519 0.8308 0.0000
I: 0.5519 0.1692 0.5000
I: 0.0554 0.2454 0.7736
I: 0.6415 0.2646 0.0000
I: 0.1415 0.7354 0.5000
I: 0.5554 0.7546 0.2736
Sr: 0.5557 0.7507 0.5000
Sr: 0.0557 0.2493 0.0000
Cs: 0.5457 0.7558 0.0000
Cs: 0.5548 0.2565 0.7502
Cs: 0.0457 0.2442 0.5000
Cs: 0.0548 0.7435 0.2502
Cs: 0.0548 0.7435 0.7498
Cs: 0.5548 0.2565 0.2498

Values from the calculation:
Crystal system ... orthorhombic
Raw formation energy ... -1378 meV/atom

DFT (PBE) results for a relaxed CoTcSn2Au crystal.

a = 5.0677 Å, b = 5.1336 Å, c = 5.0677 Å
α = 90.00°, β = 90.00°, γ = 90.00°
Site moments in Bohr magnetons follow the coordinates.
Sites, in units of the cell vectors:
Au: 0.0000 0.5000 0.0000  0.12
Tc: 0.0000 0.0000 0.0000  0.71
Sn: 0.0000 0.0000 0.5000  0.00
Sn: 0.5000 0.0000 0.0000  -0.01
Co: 0.5000 0.5000 0.5000  2.23

Values from the calculation:
ΔE to the lowest computed polymorph ... 0.000 eV per atom
Crystal system ... tetragonal

DFT (PBE) results for a relaxed La3Y crystal.

a = 6.0542 Å, b = 6.0542 Å, c = 6.0542 Å
α = 90.00°, β = 90.00°, γ = 90.00°
Sites, in units of the cell vectors:
La: 0.5000 0.0000 0.0000
La: 0.0000 0.5000 0.0000
La: 0.0000 0.0000 0.5000
Y: 0.0000 0.0000 0.0000

Values from the calculation:
Crystal system ... cubic
Final energy ... -4.275 eV per atom